Record 1
Below is a geometry-optimized CsAlSCl2 structure, with properties calculated at the PBE level.

```
data_CsAlSCl2
_chemical_formula_sum 'Cs1 Al1 S1 Cl2'
_cell_length_a 5.2243
_cell_length_b 5.2243
_cell_length_c 4.5458
_cell_angle_alpha 90.00
_cell_angle_beta 90.00
_cell_angle_gamma 90.00
_space_group_name_H-M_alt 'P 4/m m m'
_space_group_IT_number 123
_space_group_name_Hall '-P 4 2'
loop_
_atom_site_label
_atom_site_type_symbol
_atom_site_fract_x
_atom_site_fract_y
_atom_site_fract_z
_atom_site_occupancy
Cs1 Cs 0.0000 0.0000 0.0000 1
Al1 Al 0.5000 0.5000 0.5000 1
S1 S 0.5000 0.5000 0.0000 1
Cl1 Cl 0.0000 0.5000 0.5000 1
```

Summary:
- DOS(E_F): 0.57 states/eV/cell
- Formation energy (no corrections): -1.266 eV per atom

Record 2
Below is a geometry-optimized Pa6ZnGa structure, with properties calculated at the PBE level.

```
data_Pa6ZnGa
_chemical_formula_sum 'Pa6 Zn1 Ga1'
_cell_length_a 6.3198
_cell_length_b 6.3198
_cell_length_c 4.5800
_cell_angle_alpha 90.00
_cell_angle_beta 90.00
_cell_angle_gamma 90.00
_space_group_name_H-M_alt 'P 4/m m m'
_space_group_IT_number 123
_space_group_name_Hall '-P 4 2'
loop_
_atom_site_label
_atom_site_type_symbol
_atom_site_fract_x
_atom_site_fract_y
_atom_site_fract_z
_atom_site_occupancy
Pa1 Pa 0.0000 0.5000 0.0000 1
Pa2 Pa 0.2478 0.2478 0.5000 1
Zn1 Zn 0.5000 0.5000 0.0000 1
Ga1 Ga 0.0000 0.0000 0.0000 1
```

Summary:
- E_form: -0.05 eV per atom
- DOS(E_F): 19.56 states/eV/cell

Record 3
Below is a geometry-optimized Ac2AsCl structure, with properties calculated at the PBE level.

```
data_Ac2AsCl
_chemical_formula_sum 'Ac6 As3 Cl3'
_cell_length_a 4.5229
_cell_length_b 4.5229
_cell_length_c 21.1697
_cell_angle_alpha 90.00
_cell_angle_beta 90.00
_cell_angle_gamma 120.00
_space_group_name_H-M_alt 'R -3 m'
_space_group_IT_number 166
_space_group_name_Hall '-R 3 2"'
loop_
_atom_site_label
_atom_site_type_symbol
_atom_site_fract_x
_atom_site_fract_y
_atom_site_fract_z
_atom_site_occupancy
Ac1 Ac 0.0000 0.0000 0.2451 1
As1 As 0.0000 0.0000 0.5000 1
Cl1 Cl 0.0000 0.0000 0.0000 1
```

Summary:
- DOS(E_F): 5.58 states/eV/cell
- Formation energy (no corrections): -1.527 eV per atom

Record 4
Below is a geometry-optimized PmPuCo2 structure, with properties calculated at the PBE level.

```
data_PmPuCo2
_chemical_formula_sum 'Pm1 Pu1 Co2'
_cell_length_a 3.3410
_cell_length_b 3.3410
_cell_length_c 6.8487
_cell_angle_alpha 90.00
_cell_angle_beta 90.00
_cell_angle_gamma 90.00
_space_group_name_H-M_alt 'P 4/m m m'
_space_group_IT_number 123
_space_group_name_Hall '-P 4 2'
loop_
_atom_site_label
_atom_site_type_symbol
_atom_site_fract_x
_atom_site_fract_y
_atom_site_fract_z
_atom_site_occupancy
Pm1 Pm 0.0000 0.0000 0.0000 1
Pu1 Pu 0.0000 0.0000 0.5000 1
Co1 Co 0.5000 0.5000 0.2891 1
```

Summary:
- E_form: 0.05 eV per atom
- DOS(E_F): 10.97 states/eV/cell